First-principles (PBE with a Hubbard U) data for HoErMoO6 after structural relaxation, as listed in Alexandria.

abc: 5.466 5.466 4.747
angles: 90.00 90.00 120.00
Positions (direct):
Ho 0.000 0.000 0.000
Er 0.667 0.333 0.500
Mo 0.333 0.667 0.000
O 0.032 0.373 0.229
O 0.032 0.660 0.771
O 0.340 0.373 0.771
O 0.340 0.968 0.229
O 0.627 0.660 0.229
O 0.627 0.968 0.771

* V: 122.8 Å³/cell
* DOS(E_F): 0.00 states/eV/cell
* electronic total energy: -7.801 eV/atom
* space group: No. 149

---

First-principles (PBE with a Hubbard U) data for Ho2ErMoO8 after structural relaxation, as listed in Alexandria.

abc: 5.035 5.035 6.746
angles: 90.00 90.00 90.79
Positions (direct):
Ho 0.000 0.000 0.250
Ho 0.000 0.000 0.750
Er 0.500 0.500 0.000
Mo 0.500 0.500 0.500
O 0.194 0.194 0.000
O 0.225 0.225 0.500
O 0.317 0.683 0.286
O 0.317 0.683 0.714
O 0.683 0.317 0.286
O 0.683 0.317 0.714
O 0.775 0.775 0.500
O 0.806 0.806 0.000

* V: 171.0 Å³/cell
* DOS(E_F): 7.64 states/eV/cell
* electronic total energy: -7.733 eV/atom
* space group: No. 65

---

Repeat the second record exactly.
First-principles (PBE with a Hubbard U) data for Ho2ErMoO8 after structural relaxation, as listed in Alexandria.

abc: 5.035 5.035 6.746
angles: 90.00 90.00 90.79
Positions (direct):
Ho 0.000 0.000 0.250
Ho 0.000 0.000 0.750
Er 0.500 0.500 0.000
Mo 0.500 0.500 0.500
O 0.194 0.194 0.000
O 0.225 0.225 0.500
O 0.317 0.683 0.286
O 0.317 0.683 0.714
O 0.683 0.317 0.286
O 0.683 0.317 0.714
O 0.775 0.775 0.500
O 0.806 0.806 0.000

* V: 171.0 Å³/cell
* DOS(E_F): 7.64 states/eV/cell
* electronic total energy: -7.733 eV/atom
* space group: No. 65

---

Repeat the second record exactly.
First-principles (PBE with a Hubbard U) data for Ho2ErMoO8 after structural relaxation, as listed in Alexandria.

abc: 5.035 5.035 6.746
angles: 90.00 90.00 90.79
Positions (direct):
Ho 0.000 0.000 0.250
Ho 0.000 0.000 0.750
Er 0.500 0.500 0.000
Mo 0.500 0.500 0.500
O 0.194 0.194 0.000
O 0.225 0.225 0.500
O 0.317 0.683 0.286
O 0.317 0.683 0.714
O 0.683 0.317 0.286
O 0.683 0.317 0.714
O 0.775 0.775 0.500
O 0.806 0.806 0.000

* V: 171.0 Å³/cell
* DOS(E_F): 7.64 states/eV/cell
* electronic total energy: -7.733 eV/atom
* space group: No. 65

---

Q: Which of these has the lowest DOS(E_F)?
A: HoErMoO6